Entry 1:
Compound: K2MnGeO
Source: Alexandria via LeMat-Bulk
Functional: GGA+U
Structure: optimized geometry

Structure (POSCAR):
```
K2MnGeO
1.0
6.4825 0.0000 0.0000
0.0000 6.4825 0.0000
0.0000 0.0000 4.8297
Ge Mn K O
1 1 2 1
Cartesian
0.0000 0.0000 0.0000 Ge
0.0000 0.0000 2.4148 Mn
0.0000 3.2412 0.0000 K
3.2412 0.0000 0.0000 K
3.2412 3.2412 2.4148 O
```

Calculated values
Symmetry: P4/mmm, No. 123
Calculated volume in Å³/atom: 40.59

---

Entry 2:
Compound: KMnGeO4
Source: Alexandria via LeMat-Bulk
Functional: GGA+U
Structure: optimized geometry

Structure (POSCAR):
```
KMnGeO4
1.0
-1.8056 -2.3995 -4.4607
2.4021 -4.8688 1.6467
-4.5193 -0.0637 6.4039
Mn O Ge K
2 8 2 2
Cartesian
-2.2138 -1.7740 2.8706 Mn
-1.7090 -5.5580 0.7193 Mn
-1.7220 -4.9514 2.5316 O
-3.0507 -0.1838 4.2588 O
-1.9866 -4.8893 -1.4329 O
0.1235 -4.6451 0.7454 O
-0.8722 -7.1482 -0.6689 O
-2.2009 -2.3806 1.0583 O
-4.0463 -2.6869 2.8445 O
-1.9362 -2.4427 5.0228 O
-3.8253 -3.1555 1.1366 Ge
-0.0976 -4.1765 2.4533 Ge
-0.7439 -2.3808 -1.0675 K
-3.1790 -4.9512 4.6575 K
```

Calculated values
Symmetry: P2_1/m, No. 11
Calculated volume in Å³/atom: 14.98

---

Entry 3:
Compound: K2MnGeO4
Source: Alexandria via LeMat-Bulk
Functional: GGA+U
Structure: optimized geometry

Structure (POSCAR):
```
K2MnGeO4
1.0
-4.6695 -0.7290 3.2071
-0.1336 -1.6334 -5.4713
4.5990 -3.2168 1.0594
Ge O K Mn
1 4 2 1
Cartesian
2.2327 -2.4251 -2.2059 Ge
2.3185 -2.3839 -0.4209 O
1.7101 -4.0705 -2.6696 O
-0.8225 -2.6945 0.3862 O
-3.6142 -2.0096 0.2947 O
-1.2852 -2.3938 -2.2351 K
0.0000 0.0000 0.0000 K
1.0811 -3.1855 1.0303 Mn
```

Calculated values
Symmetry: I-4, No. 82
Calculated volume in Å³/atom: 16.75

---

Per-record VASP energy, eV/atom: -3.460, -6.289, -6.020